No. 1
Entry from Alexandria via LeMat-Bulk: PaAlTcNi after structural relaxation (PBE).

Results
As for the total magnetic moment: 0.00 μB/f.u. Its formation energy from the elements is -0.307 eV/atom. The space group is No. 216. The total DFT energy (no corrections) is -30.6 eV/f.u.

a = 4.5754 Å, b = 4.5754 Å, c = 4.5754 Å
α = 60.00°, β = 60.00°, γ = 60.00°
With the nearest neighbours (Å) after each atom.
Fractional positions:
Pa: 0.0000 0.0000 0.0000  4 Tc 2.80, 4 Ni 2.80
Al: 0.5000 0.5000 0.5000  4 Tc 2.80, 4 Ni 2.80
Tc: 0.7500 0.7500 0.7500  4 Pa 2.80, 4 Al 2.80
Ni: 0.2500 0.2500 0.2500  4 Pa 2.80, 4 Al 2.80

No. 2
Entry from Alexandria via LeMat-Bulk: NaHfRe2P after structural relaxation (PBE).

Results
As for the total magnetic moment: 0.00 μB/f.u. Its formation energy from the elements is 0.618 eV/atom. The space group is No. 123. The total DFT energy (no corrections) is -38.5 eV/f.u.

a = 4.4639 Å, b = 4.4639 Å, c = 4.5672 Å
α = 90.00°, β = 90.00°, γ = 90.00°
With the nearest neighbours (Å) after each atom.
Fractional positions:
Na: 0.0000 0.0000 0.0000  2 P 2.28
Hf: 0.5000 0.5000 0.0000  4 Na 3.16, 8 Re 3.19
Re: 0.0000 0.5000 0.5000  2 P 2.23
Re: 0.5000 0.0000 0.5000  2 P 2.23
P: 0.0000 0.0000 0.5000  4 Re 2.23, 2 Na 2.28

No. 3
Entry from Alexandria via LeMat-Bulk: Ba8Pt2Se after structural relaxation (PBE).

Results
As for the total magnetic moment: 0.93 μB/f.u. The space group is No. 2. The total DFT energy (no corrections) is -36.3 eV/f.u. For the energy relative to the elements, uncorrected, the calculation gives -0.486 eV/atom.

a = 6.6565 Å, b = 10.1982 Å, c = 10.2074 Å
α = 119.97°, β = 90.01°, γ = 90.00°
With the nearest neighbours (Å) after each atom.
Fractional positions:
Ba: 0.2400 0.3332 0.1664  2 Pt 3.27-3.39
Ba: 0.2546 0.3245 0.6630  1 Pt 3.03, 1 Se 3.30
Ba: 0.2546 0.8367 0.6612  1 Pt 3.03, 1 Se 3.30
Ba: 0.2547 0.8387 0.1756  1 Pt 3.03, 1 Se 3.30
Ba: 0.7453 0.1613 0.8244  1 Pt 3.03, 1 Se 3.30
Ba: 0.7454 0.1633 0.3388  1 Pt 3.03, 1 Se 3.30
Ba: 0.7454 0.6755 0.3370  1 Pt 3.03, 1 Se 3.30
Ba: 0.7600 0.6668 0.8336  2 Pt 3.27-3.39
Pt: 0.2687 0.6668 0.8336  5 Ba 3.03-3.39
Pt: 0.7313 0.3332 0.1664  5 Ba 3.03-3.39
Se: 0.5000 0.0000 0.5000  6 Ba 3.30

No. 4
Entry from Alexandria via LeMat-Bulk: PrZn6Ge2 after structural relaxation (PBE).

Results
As for the total magnetic moment: 0.00 μB/f.u. Its formation energy from the elements is -0.205 eV/atom. The space group is No. 123. The total DFT energy (no corrections) is -23.5 eV/f.u.

a = 4.0963 Å, b = 4.0963 Å, c = 9.4958 Å
α = 90.00°, β = 90.00°, γ = 90.00°
With the nearest neighbours (Å) after each atom.
Fractional positions:
Pr: 0.0000 0.0000 0.0000  8 Ge 3.18
Zn: 0.0000 0.0000 0.5000  12 Zn 2.74-2.90
Zn: 0.0000 0.5000 0.3089  2 Ge 2.61, 8 Zn 2.74-2.90
Zn: 0.0000 0.5000 0.6911  2 Ge 2.61, 8 Zn 2.74-2.90
Zn: 0.5000 0.0000 0.3089  2 Ge 2.61, 8 Zn 2.74-2.90
Zn: 0.5000 0.0000 0.6911  2 Ge 2.61, 8 Zn 2.74-2.90
Zn: 0.5000 0.5000 0.5000  12 Zn 2.74-2.90
Ge: 0.5000 0.5000 0.1378  4 Zn 2.61, 1 Ge 2.62
Ge: 0.5000 0.5000 0.8622  4 Zn 2.61, 1 Ge 2.62

No. 5
Entry from Alexandria via LeMat-Bulk: NdAlH6 after structural relaxation (PBE).

Results
As for the total magnetic moment: 0.00 μB/f.u. The space group is No. 166. The total DFT energy (no corrections) is -31.1 eV/f.u.

a = 4.2205 Å, b = 4.2205 Å, c = 4.2205 Å
α = 98.33°, β = 98.33°, γ = 98.33°
With the nearest neighbours (Å) after each atom.
Fractional positions:
Nd: 0.0000 0.0000 0.0000  12 H 2.36-2.38
Al: 0.5000 0.5000 0.5000  6 H 1.72
H: 0.2014 0.2014 0.5617  1 Al 1.72
H: 0.2014 0.5617 0.2014  1 Al 1.72
H: 0.4383 0.7986 0.7986  1 Al 1.72
H: 0.5617 0.2014 0.2014  1 Al 1.72
H: 0.7986 0.4383 0.7986  1 Al 1.72
H: 0.7986 0.7986 0.4383  1 Al 1.72

No. 6
Entry from Alexandria via LeMat-Bulk: K2NaAgHg after structural relaxation (PBE).

Results
As for the total magnetic moment: 0.00 μB/f.u. Its formation energy from the elements is 0.059 eV/atom. For the energy above the lowest structure with this stoichiometry, the calculation gives 0.0400 eV/atom. The space group is No. 123. The total DFT energy (no corrections) is -6.4 eV/f.u.

a = 6.4300 Å, b = 6.4300 Å, c = 5.6986 Å
α = 90.00°, β = 90.00°, γ = 90.00°
With the nearest neighbours (Å) after each atom.
Fractional positions:
K: 0.0000 0.5000 0.0000  2 Ag 3.22
K: 0.5000 0.0000 0.0000  2 Ag 3.22
Na: 0.0000 0.0000 0.5000  2 Ag 2.85
Ag: 0.0000 0.0000 0.0000  2 Na 2.85
Hg: 0.5000 0.5000 0.5000  8 K 4.30, 4 Na 4.55

No. 7
Entry from Alexandria via LeMat-Bulk: MnPRu2 after structural relaxation (PBE).

Results
As for the total magnetic moment: 4.14 μB/f.u. Its formation energy from the elements is 0.149 eV/atom. For the energy above the lowest structure with this stoichiometry, the calculation gives 0.3751 eV/atom. The space group is No. 65. The total DFT energy (no corrections) is -32.5 eV/f.u.

a = 2.8432 Å, b = 2.8432 Å, c = 7.8317 Å
α = 90.00°, β = 90.00°, γ = 116.50°
With the nearest neighbours (Å) after each atom.
Fractional positions:
Mn: 0.0000 0.0000 0.0000  4 Ru 2.64, 4 Mn 2.84
P: 0.0000 0.0000 0.5000  4 Ru 2.29
Ru: 0.5000 0.5000 0.2781  2 P 2.29
Ru: 0.5000 0.5000 0.7219  2 P 2.29

No. 8
Entry from Alexandria via LeMat-Bulk: ScCdMo2 after structural relaxation (PBE).

Results
As for the total magnetic moment: 0.00 μB/f.u. Its formation energy from the elements is 0.226 eV/atom. The space group is No. 123. The total DFT energy (no corrections) is -28.0 eV/f.u.

a = 3.9428 Å, b = 3.9428 Å, c = 4.6063 Å
α = 90.00°, β = 90.00°, γ = 90.00°
With the nearest neighbours (Å) after each atom.
Fractional positions:
Sc: 0.0000 0.0000 0.0000  4 Cd 2.79, 8 Mo 3.03
Cd: 0.5000 0.5000 0.0000  4 Sc 2.79, 8 Mo 3.03
Mo: 0.0000 0.5000 0.5000  4 Mo 2.79, 4 Cd 3.03, 4 Sc 3.03
Mo: 0.5000 0.0000 0.5000  4 Mo 2.79, 4 Cd 3.03, 4 Sc 3.03

No. 9
Entry from Alexandria via LeMat-Bulk: CsSn2Te2Au after structural relaxation (PBE).

Results
As for the total magnetic moment: 0.00 μB/f.u. The space group is No. 11. The total DFT energy (no corrections) is -20.9 eV/f.u. For the energy relative to the elements, uncorrected, the calculation gives -0.412 eV/atom.

a = 7.5586 Å, b = 7.4352 Å, c = 7.5600 Å
α = 90.00°, β = 96.59°, γ = 90.00°
With the nearest neighbours (Å) after each atom.
Fractional positions:
Cs: 0.1540 0.2500 0.1561  4 Te 3.84-3.92, 2 Au 4.27, 4 Sn 4.29
Cs: 0.8460 0.7500 0.8439  4 Te 3.84-3.92, 2 Au 4.27, 4 Sn 4.29
Sn: 0.3491 0.0002 0.6526  2 Au 2.88, 2 Te 3.00
Sn: 0.3491 0.4998 0.6526  2 Au 2.88, 2 Te 3.00
Sn: 0.6509 0.9998 0.3474  2 Au 2.88, 2 Te 3.00
Sn: 0.6509 0.5002 0.3474  2 Au 2.88, 2 Te 3.00
Te: 0.0373 0.2500 0.6478  2 Sn 3.00, 1 Au 3.01
Te: 0.3545 0.7500 0.9641  2 Sn 3.00, 1 Au 3.02
Te: 0.6455 0.2500 0.0359  2 Sn 3.00, 1 Au 3.02
Te: 0.9627 0.7500 0.3522  2 Sn 3.00, 1 Au 3.01
Au: 0.3625 0.7500 0.3643  4 Sn 2.88, 2 Te 3.01-3.02
Au: 0.6375 0.2500 0.6357  4 Sn 2.88, 2 Te 3.01-3.02

No. 10
Entry from Alexandria via LeMat-Bulk: KZrPd3 after structural relaxation (PBE).

Results
As for the total magnetic moment: 0.00 μB/f.u. Its formation energy from the elements is 0.292 eV/atom. For the energy above the lowest structure with this stoichiometry, the calculation gives 0.0000 eV/atom. The space group is No. 221. The total DFT energy (no corrections) is -23.8 eV/f.u.

a = 5.0808 Å, b = 5.0808 Å, c = 5.0808 Å
α = 90.00°, β = 90.00°, γ = 90.00°
With the nearest neighbours (Å) after each atom.
Fractional positions:
K: 0.0000 0.0000 0.0000  12 Pd 3.59
Zr: 0.5000 0.5000 0.5000  6 Pd 2.54
Pd: 0.0000 0.5000 0.5000  2 Zr 2.54
Pd: 0.5000 0.0000 0.5000  2 Zr 2.54
Pd: 0.5000 0.5000 0.0000  2 Zr 2.54